No. 1
La5PmSm5 after structural relaxation, computed with PBE-GGA.

Calculated values
symmetry: C2/m (12)

abc: 6.1546 10.1642 7.1562
angles: 110.85 90.00 107.62
Fractional coordinates of all 11 atoms:
Sm1 0.6690 0.3380 0.1678
La1 0.5000 0.0000 0.0000
Pm1 0.0000 0.0000 0.0000
Sm2 0.6238 0.2475 0.6223
Sm3 0.0000 0.0000 0.5000
La2 0.8250 0.6501 0.0682
La3 0.8254 0.6508 0.5823
Sm4 0.3310 0.6620 0.8322
Sm5 0.3762 0.7525 0.3777
La4 0.1750 0.3499 0.9318
La5 0.1746 0.3492 0.4177


No. 2
ErCuNiAg after structural relaxation, computed with PBE-GGA.

Calculated values
symmetry: F-43m (216)

abc: 4.5634 4.5634 4.5634
angles: 60.00 60.00 60.00
Fractional coordinates of all 4 atoms:
Ni1 0.0000 0.0000 0.0000
Cu1 0.5000 0.5000 0.5000
Er1 0.7500 0.7500 0.7500
Ag1 0.2500 0.2500 0.2500


| no. | total moment (μB/f.u.) | energy of formation from the pure elements (meV/atom) | total DFT energy (no corrections) (eV per atom) |
| --- | --- | --- | --- |
| 1 | 0.07 | 220 | -4.596 |
| 2 | 0.00 | -168 | -4.491 |